No. 1
# Ta12Al17, optimized geometry, DFT PBE-GGA
# VASP energy = -7.0982 eV/atom
data_Ta12Al17
_space_group_name_H-M_alt 'I -4 3 m'
_space_group_IT_number 217
_space_group_name_Hall 'I -4 2 3'
_cell_length_a 9.998
_cell_length_b 9.998
_cell_length_c 9.998
_cell_angle_alpha 90.00
_cell_angle_beta 90.00
_cell_angle_gamma 90.00
loop_
_atom_site_label
_atom_site_type_symbol
_atom_site_fract_x
_atom_site_fract_y
_atom_site_fract_z
Ta1 Ta 0.056 0.371 0.629
Al1 Al 0.000 0.000 0.000
Al2 Al 0.095 0.095 0.716
Al3 Al 0.163 0.163 0.163

***

No. 2
# Ta12Al17, optimized geometry, DFT PBE-GGA
# VASP energy = -6.9854 eV/atom
data_Ta12Al17
_space_group_name_H-M_alt 'I -4 3 m'
_space_group_IT_number 217
_space_group_name_Hall 'I -4 2 3'
_cell_length_a 10.122
_cell_length_b 10.122
_cell_length_c 10.122
_cell_angle_alpha 90.00
_cell_angle_beta 90.00
_cell_angle_gamma 90.00
loop_
_atom_site_label
_atom_site_type_symbol
_atom_site_fract_x
_atom_site_fract_y
_atom_site_fract_z
Ta1 Ta 0.095 0.095 0.718
Al1 Al 0.000 0.000 0.000
Al2 Al 0.055 0.365 0.635
Al3 Al 0.164 0.164 0.164

***

No. 3
# Ta9Al4, optimized geometry, DFT PBE-GGA
# VASP energy = -9.3334 eV/atom
data_Ta9Al4
_space_group_name_H-M_alt 'R -3 m'
_space_group_IT_number 166
_space_group_name_Hall '-R 3 2"'
_cell_length_a 5.4595
_cell_length_b 5.4595
_cell_length_c 28.0075
_cell_angle_alpha 90.00
_cell_angle_beta 90.00
_cell_angle_gamma 120.00
loop_
_atom_site_label
_atom_site_type_symbol
_atom_site_fract_x
_atom_site_fract_y
_atom_site_fract_z
Ta1 Ta 0.0000 0.0000 0.0000
Ta2 Ta 0.0000 0.0000 0.3500
Ta3 Ta 0.0042 0.5021 0.4126
Al1 Al 0.0000 0.0000 0.1665
Al2 Al 0.0000 0.0000 0.4502